The following is a GGA-PBE calculation of crystalline K5BaAs2 at its relaxed geometry, from Alexandria via LeMat-Bulk.

Summary:
For the energy of formation, the calculation gives -0.284 eV/atom.

Cell and atoms, written as POSCAR:
```
K5BaAs2
1.0
5.3456 0.0000 0.0000
2.6334 7.7593 0.0000
2.6454 0.4270 19.2927
K Ba As
10 2 4
direct
0.0425 0.3262 0.0935 K
0.1610 0.6229 0.5558 K
0.1800 0.9036 0.2348 K
0.2955 0.8594 0.0487 K
0.3642 0.1602 0.6113 K
0.6358 0.8398 0.3887 K
0.7045 0.1406 0.9513 K
0.8200 0.0964 0.7652 K
0.8390 0.3771 0.4442 K
0.9575 0.6738 0.9065 K
0.4471 0.3601 0.2564 Ba
0.5529 0.6399 0.7436 Ba
0.2532 0.6117 0.3791 As
0.3545 0.9214 0.8686 As
0.6455 0.0786 0.1314 As
0.7468 0.3883 0.6209 As
```